# Pr3IrIBr

Pr3IrIBr after structural relaxation (PBE-GGA, Alexandria via LeMat-Bulk).

Output
* space group: P2_1/m
* Fermi-level density of states: 7.92 states/eV/cell
* formation energy (no corrections): -94.99 kJ per mole of atoms

abc: 4.193 9.872 10.295
angles: 91.56 90.00 90.00
Last column: magnetic moment on the atom in μB.
Fractional coordinates of all 12 atoms:
Pr  0.750  0.818  0.140  -0.03
Pr  0.250  0.182  0.860  -0.03
Pr  0.250  0.638  0.413  0.21
Pr  0.750  0.362  0.587  0.21
Pr  0.750  0.420  0.139  -0.03
Pr  0.250  0.580  0.861  -0.03
Ir  0.250  0.623  0.143  -0.01
Ir  0.750  0.377  0.857  -0.01
I  0.250  0.108  0.168  0.00
I  0.750  0.892  0.832  0.00
Br  0.250  0.138  0.567  0.01
Br  0.750  0.862  0.433  0.01

# Pm12Tl3N5

Pm12Tl3N5 after structural relaxation (PBE-GGA, Alexandria via LeMat-Bulk).

Output
* space group: Ia-3d
* Fermi-level density of states: 67.92 states/eV/cell
* formation energy (no corrections): -70.37 kJ per mole of atoms

abc: 13.985 13.985 13.985
angles: 109.47 109.47 109.47
Fractional coordinates of all 80 atoms:
Tl  0.750  0.375  0.125
Tl  0.875  0.750  0.125
Tl  0.375  0.750  0.625
Tl  0.250  0.125  0.375
Tl  0.875  0.125  0.250
Tl  0.375  0.625  0.250
Tl  0.625  0.375  0.750
Tl  0.125  0.875  0.750
Tl  0.750  0.875  0.625
Tl  0.625  0.250  0.375
Tl  0.125  0.250  0.875
Tl  0.250  0.625  0.875
N  0.125  0.375  0.250
N  0.000  0.500  0.000
N  0.000  0.000  0.000
N  0.375  0.250  0.125
N  0.500  0.000  0.500
N  0.500  0.500  0.000
N  0.125  0.750  0.375
N  0.750  0.125  0.875
N  0.750  0.625  0.375
N  0.375  0.125  0.750
N  0.625  0.875  0.250
N  0.500  0.500  0.500
N  0.500  0.000  0.000
N  0.000  0.000  0.500
N  0.250  0.375  0.625
N  0.250  0.875  0.125
N  0.000  0.500  0.500
N  0.875  0.250  0.625
N  0.625  0.750  0.875
N  0.875  0.625  0.750
Pm  0.697  0.109  0.012
Pm  0.315  0.512  0.403
Pm  0.988  0.391  0.303
Pm  0.512  0.197  0.109
Pm  0.588  0.697  0.685
Pm  0.988  0.597  0.185
Pm  0.315  0.803  0.412
Pm  0.097  0.912  0.109
Pm  0.597  0.988  0.685
Pm  0.697  0.588  0.185
Pm  0.803  0.488  0.391
Pm  0.815  0.903  0.012
Pm  0.109  0.697  0.512
Pm  0.391  0.403  0.088
Pm  0.088  0.903  0.391
Pm  0.412  0.109  0.597
Pm  0.088  0.185  0.197
Pm  0.488  0.685  0.097
Pm  0.815  0.912  0.303
Pm  0.109  0.412  0.097
Pm  0.391  0.988  0.803
Pm  0.597  0.609  0.412
Pm  0.903  0.815  0.512
Pm  0.803  0.315  0.912
Pm  0.403  0.391  0.588
Pm  0.097  0.185  0.488
Pm  0.197  0.685  0.088
Pm  0.185  0.088  0.697
Pm  0.609  0.012  0.197
Pm  0.891  0.588  0.903
Pm  0.512  0.315  0.903
Pm  0.588  0.891  0.403
Pm  0.912  0.815  0.803
Pm  0.912  0.097  0.609
Pm  0.891  0.303  0.488
Pm  0.185  0.097  0.988
Pm  0.609  0.597  0.912
Pm  0.403  0.012  0.315
Pm  0.303  0.412  0.815
Pm  0.197  0.512  0.609
Pm  0.903  0.088  0.891
Pm  0.685  0.197  0.588
Pm  0.488  0.803  0.891
Pm  0.012  0.403  0.815
Pm  0.412  0.303  0.315
Pm  0.012  0.609  0.697
Pm  0.685  0.488  0.597
Pm  0.303  0.891  0.988

# Lu2SiH

Lu2SiH after structural relaxation (PBE-GGA, Alexandria via LeMat-Bulk).

Output
* space group: R-3m
* calculated total energy: -18.86 eV for the cell shown
* Fermi-level density of states: 3.12 states/eV/cell

abc: 4.287 4.287 7.086
angles: 72.39 72.39 60.00
Fractional coordinates of all 4 atoms:
H  0.000  0.000  0.000
Si  0.500  0.500  0.500
Lu  0.103  0.103  0.692
Lu  0.897  0.897  0.308

# YSc2Rh

YSc2Rh after structural relaxation (PBE-GGA, Alexandria via LeMat-Bulk).

Output
* polymorph energy (0 for the lowest one): 238 meV/atom
* space group: P4/mmm
* formation enthalpy at 0 K: -0.29 eV/atom
* Fermi-level density of states: 4.23 states/eV/cell

abc: 5.039 4.159 4.159
angles: 90.00 90.00 90.00
Last column: magnetic moment on the atom in μB.
Fractional coordinates of all 4 atoms:
Rh  0.500  0.000  0.500  0.00
Sc  0.000  0.000  0.000  0.12
Sc  0.000  0.500  0.500  0.12
Y  0.500  0.500  0.000  0.01

# Al2Ag2P

Al2Ag2P after structural relaxation (PBE-GGA, Alexandria via LeMat-Bulk).

Output
* polymorph energy (0 for the lowest one): 117 meV/atom
* space group: I4/mmm
* formation enthalpy at 0 K: 0.35 eV/atom
* Fermi-level density of states: 1.94 states/eV/cell

abc: 3.850 3.850 6.845
angles: 73.67 73.67 90.00
Fractional coordinates of all 5 atoms:
P  0.000  0.000  0.000
Al  0.750  0.250  0.500
Al  0.250  0.750  0.500
Ag  0.394  0.394  0.213
Ag  0.606  0.606  0.787

# ZrAlSe

ZrAlSe after structural relaxation (PBE-GGA, Alexandria via LeMat-Bulk).

Output
* polymorph energy (0 for the lowest one): 912 meV/atom
* space group: F-43m
* Fermi-level density of states: 4.48 states/eV/cell
* formation energy (no corrections): 5.47 kJ per mole of atoms

abc: 4.648 4.648 4.648
angles: 60.00 60.00 60.00
Fractional coordinates of all 3 atoms:
Se  0.500  0.500  0.500
Zr  0.750  0.750  0.750
Al  0.000  0.000  0.000

# Ac2CeYO6

Ac2CeYO6 after structural relaxation (PBE-GGA, Alexandria via LeMat-Bulk).

Output
* space group: P2_1/c
* Fermi-level density of states: 6.55 states/eV/cell
* formation energy (no corrections): -322.74 kJ per mole of atoms

abc: 6.110 6.304 8.851
angles: 90.00 89.88 90.00
Last column: magnetic moment on the atom in μB.
Fractional coordinates of all 20 atoms:
Ac  0.016  0.952  0.248  0.01
Ac  0.516  0.548  0.748  0.01
Ac  0.984  0.048  0.752  0.01
Ac  0.484  0.452  0.252  0.01
Ce  0.500  0.000  0.500  0.91
Ce  0.000  0.500  0.000  0.91
Y  0.500  0.000  0.000  0.00
Y  0.000  0.500  0.500  0.00
O  0.306  0.704  0.072  -0.01
O  0.806  0.796  0.572  -0.01
O  0.694  0.296  0.928  -0.01
O  0.194  0.204  0.428  -0.01
O  0.299  0.693  0.434  -0.01
O  0.799  0.807  0.934  -0.01
O  0.701  0.307  0.566  -0.01
O  0.201  0.193  0.066  -0.01
O  0.873  0.560  0.256  -0.01
O  0.373  0.940  0.756  -0.01
O  0.127  0.440  0.744  -0.01
O  0.627  0.060  0.244  -0.01

Look up the Fermi-level density of states of the third one.
3.12 states/eV/cell

What is the Fermi-level density of states in the fourth record?
4.23 states/eV/cell

Which of these has the highest Fermi-level density of states?
Pm12Tl3N5

What is the Fermi-level density of states in the third record?
3.12 states/eV/cell